The following is a PBEsol calculation of a geometry-optimized NaGaSCl2 structure, from Alexandria via LeMat-Bulk.

Cell and atoms, written as CIF:
```
data_NaGaSCl2
_cell_length_a 5.087
_cell_length_b 5.087
_cell_length_c 5.076
_cell_angle_alpha 90.00
_cell_angle_beta 90.00
_cell_angle_gamma 90.00
_symmetry_space_group_name_H-M 'P 4/m m m'
_symmetry_Int_Tables_number 123
_symmetry_space_group_name_Hall '-P 4 2'
loop_
_atom_site_label
_atom_site_type_symbol
_atom_site_fract_x
_atom_site_fract_y
_atom_site_fract_z
Na1 Na 0.000 0.000 0.000
Ga1 Ga 0.500 0.500 0.500
S1 S 0.000 0.000 0.500
Cl1 Cl 0.000 0.500 0.000
```

Computed properties:
Final energy = -2.755 eV/atom
Energy relative to the elements, uncorrected = -127 meV/atom
Fermi-level density of states = 0.7390 states/eV/atom
Density = 2.474 Mg/m³

The following is a PBEsol calculation of a geometry-optimized NbGaCl3 structure, from Alexandria via LeMat-Bulk.

Cell and atoms, written as CIF:
```
data_NbGaCl3
_cell_length_a 4.872
_cell_length_b 4.872
_cell_length_c 4.872
_cell_angle_alpha 90.00
_cell_angle_beta 90.00
_cell_angle_gamma 90.00
_symmetry_space_group_name_H-M 'P m -3 m'
_symmetry_Int_Tables_number 221
_symmetry_space_group_name_Hall '-P 4 2 3'
loop_
_atom_site_label
_atom_site_type_symbol
_atom_site_fract_x
_atom_site_fract_y
_atom_site_fract_z
Nb1 Nb 0.000 0.000 0.000
Ga1 Ga 0.500 0.500 0.500
Cl1 Cl 0.000 0.500 0.500
```

Computed properties:
Final energy = -3.775 eV/atom
Energy relative to the elements, uncorrected = 262 meV/atom
Fermi-level density of states = 1.2261 states/eV/atom
Density = 3.863 Mg/m³